Record 1
Computed, not measured: Ir2PtBr at its PBEsol-relaxed geometry at the SCAN level of DFT.

```
data_Ir2PtBr
_space_group_name_H-M_alt 'P 4 m m'
_space_group_IT_number 99
_cell_length_a 2.829
_cell_length_b 2.829
_cell_length_c 8.095
_cell_angle_alpha 90.00
_cell_angle_beta 90.00
_cell_angle_gamma 90.00
loop_
_space_group_symop_operation_xyz
'x,y,z'
'-y,x,z'
'-x,-y,z'
'y,-x,z'
'-x,y,z'
'y,x,z'
'x,-y,z'
'-y,-x,z'
loop_
_atom_site_label
_atom_site_fract_x
_atom_site_fract_y
_atom_site_fract_z
_atom_site_occupancy
Ir1 0.000 0.000 0.000 1
Ir2 0.500 0.500 0.213 1
Pt1 0.000 0.000 0.442 1
Br1 0.500 0.500 0.750 1
```

- E_form (uncorrected) (eV/atom) = 0.702
- offset from the most stable computed form (kJ/mol of formula units) = 1.8
- DOS at the Fermi energy (states/eV/cell) = 3.487
- total magnetic moment (Bohr magnetons per cell) = 0.00

Record 2
Computed, not measured: CaMnBe2 at its PBEsol-relaxed geometry at the SCAN level of DFT.

```
data_CaMnBe2
_space_group_name_H-M_alt 'F m -3 m'
_space_group_IT_number 225
_space_group_name_Hall '-F 4 2 3'
_cell_length_a 6.198
_cell_length_b 6.198
_cell_length_c 6.198
_cell_angle_alpha 90.00
_cell_angle_beta 90.00
_cell_angle_gamma 90.00
loop_
_atom_site_label
_atom_site_fract_x
_atom_site_fract_y
_atom_site_fract_z
_atom_site_occupancy
Ca1 0.000 0.000 0.000 1
Mn1 0.000 0.000 0.500 1
Be1 0.250 0.250 0.250 1
```

- DOS at the Fermi energy (states/eV/cell) = 9.805
- formation enthalpy at 0 K (eV per formula unit) = 1.29
- total magnetic moment (Bohr magnetons per cell) = 15.10

Record 3
Computed, not measured: KCu2H3S2O10 at its PBEsol-relaxed geometry at the SCAN level of DFT.

```
data_KCu2H3S2O10
_space_group_name_H-M_alt 'C 1 m 1'
_space_group_IT_number 8
_cell_length_a 9.010
_cell_length_b 6.252
_cell_length_c 7.613
_cell_angle_alpha 90.00
_cell_angle_beta 119.29
_cell_angle_gamma 90.00
loop_
_space_group_symop_operation_xyz
'x,y,z'
'x,-y,z'
'x+1/2,y+1/2,z'
'x+1/2,-y+1/2,z'
loop_
_atom_site_label
_atom_site_fract_x
_atom_site_fract_y
_atom_site_fract_z
_atom_site_occupancy
K1 0.000 0.000 0.000 1
Cu1 0.251 0.253 0.499 1
H1 0.016 0.000 0.509 1
H2 0.213 0.000 0.727 1
H3 0.291 0.500 0.278 1
S1 0.081 0.500 0.793 1
S2 0.420 0.000 0.207 1
O1 0.030 0.303 0.265 1
O2 0.158 0.000 0.576 1
O3 0.181 0.500 0.686 1
O4 0.193 0.500 0.011 1
O5 0.307 0.000 0.989 1
O6 0.319 0.000 0.313 1
O7 0.346 0.500 0.429 1
O8 0.471 0.197 0.736 1
```

- DOS at the Fermi energy (states/eV/cell) = 0.000
- energy (eV per atom) = -8.6822
- total magnetic moment (Bohr magnetons per cell) = 4.04

Record 4
Computed, not measured: Rb2ZrSbRu at its PBEsol-relaxed geometry at the SCAN level of DFT.

```
data_Rb2ZrSbRu
_space_group_name_H-M_alt 'P 4/m m m'
_space_group_IT_number 123
_space_group_name_Hall '-P 4 2'
_cell_length_a 5.698
_cell_length_b 5.698
_cell_length_c 5.099
_cell_angle_alpha 90.00
_cell_angle_beta 90.00
_cell_angle_gamma 90.00
loop_
_atom_site_label
_atom_site_fract_x
_atom_site_fract_y
_atom_site_fract_z
_atom_site_occupancy
Rb1 0.000 0.500 0.000 1
Zr1 0.000 0.000 0.500 1
Sb1 0.500 0.500 0.500 1
Ru1 0.500 0.500 0.000 1
```

- E_form (uncorrected) (eV/atom) = 1.236
- DOS at the Fermi energy (states/eV/cell) = 8.657
- total magnetic moment (Bohr magnetons per cell) = 4.76

Record 5
Computed, not measured: NaScSeN2 at its PBEsol-relaxed geometry at the SCAN level of DFT.

```
data_NaScSeN2
_space_group_name_H-M_alt 'P 4/m m m'
_space_group_IT_number 123
_space_group_name_Hall '-P 4 2'
_cell_length_a 4.139
_cell_length_b 4.139
_cell_length_c 4.940
_cell_angle_alpha 90.00
_cell_angle_beta 90.00
_cell_angle_gamma 90.00
loop_
_atom_site_label
_atom_site_fract_x
_atom_site_fract_y
_atom_site_fract_z
_atom_site_occupancy
Na1 0.000 0.000 0.000 1
Sc1 0.500 0.500 0.500 1
Se1 0.000 0.000 0.500 1
N1 0.000 0.500 0.000 1
```

- E_form (uncorrected) (eV/atom) = 0.995
- DOS at the Fermi energy (states/eV/cell) = 2.311
- total magnetic moment (Bohr magnetons per cell) = 4.00

Record 6
Computed, not measured: Ba2TcAs at its PBEsol-relaxed geometry at the SCAN level of DFT.

```
data_Ba2TcAs
_space_group_name_H-M_alt 'I m m 2'
_space_group_IT_number 44
_cell_length_a 4.054
_cell_length_b 5.237
_cell_length_c 10.948
_cell_angle_alpha 90.00
_cell_angle_beta 90.00
_cell_angle_gamma 90.00
loop_
_space_group_symop_operation_xyz
'x,y,z'
'-x,-y,z'
'-x,y,z'
'x,-y,z'
'x+1/2,y+1/2,z+1/2'
'-x+1/2,-y+1/2,z+1/2'
'-x+1/2,y+1/2,z+1/2'
'x+1/2,-y+1/2,z+1/2'
loop_
_atom_site_label
_atom_site_fract_x
_atom_site_fract_y
_atom_site_fract_z
_atom_site_occupancy
Ba1 0.000 0.000 0.000 1
Ba2 0.000 0.500 0.204 1
Tc1 0.000 0.500 0.808 1
As1 0.000 0.000 0.421 1
```

- DOS at the Fermi energy (states/eV/cell) = 10.206
- formation enthalpy at 0 K (eV per formula unit) = -0.34
- total magnetic moment (Bohr magnetons per cell) = 0.01

Record 7
Computed, not measured: BeTc2Hg at its PBEsol-relaxed geometry at the SCAN level of DFT.

```
data_BeTc2Hg
_space_group_name_H-M_alt 'F -4 3 m'
_space_group_IT_number 216
_space_group_name_Hall 'F -4 2 3'
_cell_length_a 6.110
_cell_length_b 6.110
_cell_length_c 6.110
_cell_angle_alpha 90.00
_cell_angle_beta 90.00
_cell_angle_gamma 90.00
loop_
_atom_site_label
_atom_site_fract_x
_atom_site_fract_y
_atom_site_fract_z
_atom_site_occupancy
Be1 0.000 0.000 0.000 1
Tc1 0.000 0.000 0.500 1
Tc2 0.250 0.250 0.750 1
Hg1 0.250 0.250 0.250 1
```

- offset from the most stable computed form (kJ/mol of formula units) = 28.4
- DOS at the Fermi energy (states/eV/cell) = 8.275
- formation enthalpy at 0 K (eV per formula unit) = 1.71
- total magnetic moment (Bohr magnetons per cell) = 0.00

Record 8
Computed, not measured: K2BaMo at its PBEsol-relaxed geometry at the SCAN level of DFT.

```
data_K2BaMo
_space_group_name_H-M_alt 'C m m m'
_space_group_IT_number 65
_space_group_name_Hall '-C 2 2'
_cell_length_a 7.004
_cell_length_b 13.129
_cell_length_c 3.698
_cell_angle_alpha 90.00
_cell_angle_beta 90.00
_cell_angle_gamma 90.00
loop_
_atom_site_label
_atom_site_fract_x
_atom_site_fract_y
_atom_site_fract_z
_atom_site_occupancy
K1 0.250 0.250 0.000 1
Ba1 0.000 0.000 0.500 1
Mo1 0.000 0.500 0.500 1
```

- offset from the most stable computed form (kJ/mol of formula units) = 44.8
- DOS at the Fermi energy (states/eV/cell) = 3.883
- formation enthalpy at 0 K (eV per formula unit) = 4.60
- total magnetic moment (Bohr magnetons per cell) = 7.27

Record 9
Computed, not measured: TcHgTe3 at its PBEsol-relaxed geometry at the SCAN level of DFT.

```
data_TcHgTe3
_space_group_name_H-M_alt 'P m -3 m'
_space_group_IT_number 221
_space_group_name_Hall '-P 4 2 3'
_cell_length_a 5.191
_cell_length_b 5.191
_cell_length_c 5.191
_cell_angle_alpha 90.00
_cell_angle_beta 90.00
_cell_angle_gamma 90.00
loop_
_atom_site_label
_atom_site_fract_x
_atom_site_fract_y
_atom_site_fract_z
_atom_site_occupancy
Tc1 0.000 0.000 0.000 1
Hg1 0.500 0.500 0.500 1
Te1 0.000 0.000 0.500 1
```

- E_form (uncorrected) (eV/atom) = 0.463
- DOS at the Fermi energy (states/eV/cell) = 5.466
- total magnetic moment (Bohr magnetons per cell) = 0.00

Record 10
Computed, not measured: MnCd2Rh at its PBEsol-relaxed geometry at the SCAN level of DFT.

```
data_MnCd2Rh
_space_group_name_H-M_alt 'R -3 m'
_space_group_IT_number 166
_space_group_name_Hall '-R 3 2"'
_cell_length_a 2.8866
_cell_length_b 2.8866
_cell_length_c 27.1558
_cell_angle_alpha 90.00
_cell_angle_beta 90.00
_cell_angle_gamma 120.00
loop_
_atom_site_label
_atom_site_fract_x
_atom_site_fract_y
_atom_site_fract_z
_atom_site_occupancy
Mn1 0.0000 0.0000 0.0000 1
Cd1 0.0000 0.0000 0.2485 1
Rh1 0.0000 0.0000 0.5000 1
```

- offset from the most stable computed form (kJ/mol of formula units) = 89.7
- DOS at the Fermi energy (states/eV/cell) = 6.369
- formation enthalpy at 0 K (eV per formula unit) = 0.14
- total magnetic moment (Bohr magnetons per cell) = 11.61

Record 11
Computed, not measured: TaMn2Os at its PBEsol-relaxed geometry at the SCAN level of DFT.

```
data_TaMn2Os
_space_group_name_H-M_alt 'P m m m'
_space_group_IT_number 47
_cell_length_a 3.084
_cell_length_b 4.143
_cell_length_c 4.264
_cell_angle_alpha 90.00
_cell_angle_beta 90.00
_cell_angle_gamma 90.00
loop_
_space_group_symop_operation_xyz
'x,y,z'
'-x,-y,-z'
'-x,-y,z'
'x,y,-z'
'x,-y,-z'
'-x,y,z'
'-x,y,-z'
'x,-y,z'
loop_
_atom_site_label
_atom_site_fract_x
_atom_site_fract_y
_atom_site_fract_z
_atom_site_occupancy
Ta1 0.000 0.000 0.000 1
Mn1 0.000 0.500 0.500 1
Mn2 0.500 0.500 0.000 1
Os1 0.500 0.000 0.500 1
```

- offset from the most stable computed form (kJ/mol of formula units) = 0.0
- DOS at the Fermi energy (states/eV/cell) = 2.299
- formation enthalpy at 0 K (eV per formula unit) = -1.17
- total magnetic moment (Bohr magnetons per cell) = 3.04

Record 12
Computed, not measured: Tl2OsF at its PBEsol-relaxed geometry at the SCAN level of DFT.

```
data_Tl2OsF
_space_group_name_H-M_alt 'F m -3 m'
_space_group_IT_number 225
_space_group_name_Hall '-F 4 2 3'
_cell_length_a 6.576
_cell_length_b 6.576
_cell_length_c 6.576
_cell_angle_alpha 90.00
_cell_angle_beta 90.00
_cell_angle_gamma 90.00
loop_
_atom_site_label
_atom_site_fract_x
_atom_site_fract_y
_atom_site_fract_z
_atom_site_occupancy
Tl1 0.250 0.250 0.250 1
Os1 0.000 0.000 0.000 1
F1 0.000 0.000 0.500 1
```

- E_form (uncorrected) (eV/atom) = 0.359
- DOS at the Fermi energy (states/eV/cell) = 24.701
- total magnetic moment (Bohr magnetons per cell) = 2.14